Material: Pr2ZrTl3S6
Method: DFT, GGA-PBE
State: optimized geometry

Cell: 6.998 6.998 7.916 Å, 98.50 98.50 119.93°
Atoms (fractional coordinates):
Tl 0.171 0.829 0.500
S 0.067 0.374 0.202
Tl 0.829 0.171 0.500
Pr 0.334 0.666 0.000
S 0.374 0.067 0.202
S 0.237 0.237 0.791
Zr 0.000 0.000 0.000
Tl 0.500 0.500 0.500
S 0.763 0.763 0.209
S 0.933 0.626 0.798
S 0.626 0.933 0.798
Pr 0.666 0.334 0.000

The symmetry is No. 12. The volume is 321 Å³/cell. The electronic total energy comes out at -5.46 eV/atom. For the uncorrected formation energy, the calculation gives -1.30 eV per atom. As for the size of the total moment: 0.0 μB/f.u.